(1)
Density functional theory data (PBE) for a geometry-optimized TcWCl4 structure.

Cell and atoms, written as extended XYZ:
```
6
Lattice="0.0000 4.0047 4.0047 4.0047 0.0000 4.0047 4.0047 4.0047 0.0000" Properties=species:S:1:pos:R:3 pbc="T T T"
Cl 5.0045 3.0049 5.0045
Cl 5.0045 5.0045 3.0049
W 0.0000 0.0000 0.0000
Tc 6.0070 6.0070 6.0070
Cl 3.0049 5.0045 5.0045
Cl 3.0049 3.0049 3.0049
```

Computed properties:
- ΔE_f (raw): 1.687 eV per atom
- Space-group type: F-43m

(2)
Density functional theory data (PBE) for a geometry-optimized CaZr2Cr structure.

Cell and atoms, written as extended XYZ:
```
4
Lattice="-1.9882 3.9158 -2.5771 -4.1703 -0.6772 -2.8422 -4.4366 2.0232 1.4665" Properties=species:S:1:pos:R:3 pbc="T T T"
Ca -5.2975 2.6309 -1.9764
Zr -2.6488 1.3155 -0.9882
Zr 0.0000 0.0000 0.0000
Cr -7.9463 3.9464 -2.9645
```

Computed properties:
- Energy relative to the lowest polymorph listed for this composition: 25.9 kJ/mol of atoms
- Space-group type: F-43m
- Formation energy: 0.510 eV per atom